The following is a GGA-PBE calculation of a relaxed Ce3In2Au6 crystal, from the Alexandria database.

Cell lengths 3.903, 3.903, 18.069 Å; angles 96.20, 96.20, 90.00 degrees
Site moments in Bohr magnetons follow the coordinates.
Element x y z (fractional)
In (0.228, 0.228, 0.456)  0.02
In (0.772, 0.772, 0.544)  0.02
Au (0.838, 0.338, 0.677)  0.01
Au (0.546, 0.546, 0.093)  0.00
Au (0.454, 0.454, 0.907)  0.00
Au (0.662, 0.162, 0.323)  0.01
Au (0.162, 0.662, 0.323)  0.01
Au (0.338, 0.838, 0.677)  0.01
Ce (0.907, 0.907, 0.814)  0.90
Ce (0.000, 0.000, 0.000)  0.86
Ce (0.093, 0.093, 0.186)  0.90

Properties
- ΔE_f: -3.53 eV per formula unit
- Space group: No. 139
- Magnetization: 3.30 μB per formula unit
- DFT total energy: -4.22 eV/atom